Compound: BaMg3Al
Source: Alexandria
Functional: PBE
Structure: optimized geometry

Structure (POSCAR):
```
BaMg3Al
1.0
5.415 0.000 0.000
0.000 5.415 0.000
0.000 0.000 5.415
Ba Mg Al
1 3 1
direct
0.000 0.000 0.000 Ba
0.000 0.500 0.500 Mg
0.500 0.000 0.500 Mg
0.500 0.500 0.000 Mg
0.500 0.500 0.500 Al
```

Output
**Total energy**: -1.9476 eV/atom
**Total magnetization**: 0.0000 μB/atom
**Polymorph energy (0 for the lowest one)**: 219 meV/atom
**Energy of formation**: 68.6 kJ/mol of formula units

***

Compound: BeNiTe
Source: Alexandria
Functional: PBE
Structure: optimized geometry

Structure (POSCAR):
```
BeNiTe
1.0
8.049 0.000 0.000
0.000 3.822 0.000
0.000 0.000 6.587
Be Ni Te
4 4 4
direct
0.134 0.000 0.000 Be
0.134 0.500 0.500 Be
0.866 0.000 0.000 Be
0.866 0.500 0.500 Be
0.000 0.000 0.330 Ni
0.000 0.500 0.830 Ni
0.500 0.000 0.012 Ni
0.500 0.500 0.512 Ni
0.300 0.000 0.338 Te
0.300 0.500 0.838 Te
0.700 0.000 0.338 Te
0.700 0.500 0.838 Te
```

Output
**Total energy**: -4.0997 eV/atom
**Total magnetization**: 0.0000 μB/atom
**Formation energy (no corrections)**: 2.7 kcal/mol of atoms

***

Compound: GaCuN2
Source: Alexandria
Functional: PBE
Structure: optimized geometry

Structure (POSCAR):
```
GaCuN2
1.0
3.031 0.000 0.000
-1.515 2.625 0.000
0.000 0.000 17.440
Ga Cu N
3 3 6
direct
0.000 0.000 0.000 Ga
0.333 0.667 0.667 Ga
0.667 0.333 0.333 Ga
0.000 0.000 0.500 Cu
0.333 0.667 0.167 Cu
0.667 0.333 0.833 Cu
0.000 0.000 0.397 N
0.000 0.000 0.603 N
0.333 0.667 0.063 N
0.333 0.667 0.270 N
0.667 0.333 0.730 N
0.667 0.333 0.937 N
```

Output
**Total energy**: -5.3002 eV/atom
**Total magnetization**: 0.0001 μB/atom
**Formation energy (no corrections)**: 14.8 kcal/mol of atoms

***

Compound: FePdRh3
Source: Alexandria
Functional: PBE
Structure: optimized geometry

Structure (POSCAR):
```
FePdRh3
1.0
4.395 0.000 0.000
0.000 4.395 0.000
0.000 0.000 4.395
Fe Pd Rh
1 1 3
direct
0.000 0.000 0.000 Fe
0.500 0.500 0.500 Pd
0.000 0.000 0.500 Rh
0.000 0.500 0.000 Rh
0.500 0.000 0.000 Rh
```

Output
**Total energy**: -6.0771 eV/atom
**Total magnetization**: 0.0000 μB/atom
**Polymorph energy (0 for the lowest one)**: 987 meV/atom
**Energy of formation**: 513.7 kJ/mol of formula units

***

Compound: KZrBe
Source: Alexandria
Functional: PBE
Structure: optimized geometry

Structure (POSCAR):
```
KZrBe
1.0
3.329 0.000 0.000
-1.665 2.883 0.000
0.000 0.000 7.929
K Zr Be
1 1 1
direct
0.000 0.000 0.000 K
0.667 0.333 0.440 Zr
0.333 0.667 0.665 Be
```

Output
**Total energy**: -3.6264 eV/atom
**Total magnetization**: 0.2963 μB/atom
**Polymorph energy (0 for the lowest one)**: 266 meV/atom
**Energy of formation**: 240.5 kJ/mol of formula units

***

Compound: ScAsW4
Source: Alexandria
Functional: PBE
Structure: optimized geometry

Structure (POSCAR):
```
ScAsW4
1.0
0.000 3.786 3.786
3.786 0.000 3.786
3.786 3.786 0.000
Sc As W
1 1 4
direct
0.000 0.000 0.000 Sc
0.250 0.250 0.250 As
0.125 0.625 0.625 W
0.625 0.125 0.625 W
0.625 0.625 0.125 W
0.625 0.625 0.625 W
```

Output
**Total energy**: -10.0335 eV/atom
**Total magnetization**: 0.0000 μB/atom
**Energy of formation**: 250.1 kJ/mol of formula units